No. 1
Entry from Alexandria via LeMat-Bulk: CaTaRu2 after structural relaxation (PBE).

a b c (Å): 5.5753 5.5753 5.5753
angles (deg): 146.73 131.47 60.11
Atoms (fractional coordinates):
Ca: 0.2499 0.7499 0.5000
Ru: 0.7377 0.2377 0.5000
Ru: 0.9855 0.9855 0.0000
Ta: 0.5269 0.5269 0.0000

Values from the calculation:
- calculated volume (Å³/cell) = 70.6
- energy relative to the elements (meV per atom) = 187

***

No. 2
Entry from Alexandria via LeMat-Bulk: Y2CdHg2 after structural relaxation (PBE).

a b c (Å): 4.7204 6.1923 9.9564
angles (deg): 78.00 76.29 67.60
Atoms (fractional coordinates):
Hg: 0.8640 0.6863 0.5858
Hg: 0.0451 0.7916 0.1182
Hg: 0.9549 0.2084 0.8818
Hg: 0.1360 0.3137 0.4142
Cd: 0.2174 0.9012 0.6641
Cd: 0.7826 0.0988 0.3359
Y: 0.6753 0.7419 0.9075
Y: 0.3247 0.2581 0.0925
Y: 0.4840 0.6954 0.3365
Y: 0.5160 0.3046 0.6635

Values from the calculation:
- calculated volume (Å³/cell) = 259.1
- energy relative to the elements (meV per atom) = -377
- excess energy over the best structure of this formula in the dataset (meV/atom) = 48

***

No. 3
Entry from Alexandria via LeMat-Bulk: Sm4Rh2Br after structural relaxation (PBE).

a b c (Å): 4.1083 4.1083 14.0732
angles (deg): 81.61 81.61 60.00
Atoms (fractional coordinates):
Br: 0.0000 0.0000 0.0000
Sm: 0.7234 0.7234 0.8299
Sm: 0.2766 0.2766 0.1701
Sm: 0.8717 0.8717 0.3848
Sm: 0.1283 0.1283 0.6152
Rh: 0.4261 0.4261 0.7218
Rh: 0.5739 0.5739 0.2782

Values from the calculation:
- calculated volume (Å³/cell) = 202.8
- energy relative to the elements, uncorrected (kcal/mol of atoms) = -18.67

***

No. 4
Entry from Alexandria via LeMat-Bulk: Pr2GdHf after structural relaxation (PBE).

a b c (Å): 3.4044 3.4044 12.4957
angles (deg): 82.17 82.17 60.00
Each line ends with the local moment (μB).
Atoms (fractional coordinates):
Gd: 0.5000 0.5000 0.5000  7.19
Hf: 0.0000 0.0000 0.0000  -0.04
Pr: 0.0846 0.0846 0.7463  -0.05
Pr: 0.9154 0.9154 0.2537  -0.05

Values from the calculation:
- calculated volume (Å³/cell) = 123.9
- energy relative to the elements (meV per atom) = 395
- excess energy over the best structure of this formula in the dataset (meV/atom) = 210